Entry 1:
DFT (GGA-PBE) results for crystalline ErTh2Pd6 at its relaxed geometry.

Calculated values
Total moment = 0.00 μB per cell
Energy relative to the elements = -0.642 eV per atom

Unit cell a=3.6407 b=7.5715 c=8.0700 alpha=117.98 beta=89.93 gamma=90.00
Last column: nearest neighbours and their distance in Å.
Fractional positions:
Pd 0.9987 0.0507 0.6857  3 Pd 2.72-2.97, 1 Er 2.74, 2 Th 2.91
Th 0.5010 0.6936 0.3872  10 Pd 2.91-3.21
Er 0.0000 0.0000 0.0000  8 Pd 2.74-2.91
Pd 0.0013 0.9493 0.3143  3 Pd 2.72-2.97, 1 Er 2.74, 2 Th 2.91
Pd 0.0013 0.3650 0.3143  3 Pd 2.72-2.97, 1 Er 2.74, 2 Th 2.91
Pd 0.5000 0.7006 0.0000  2 Er 2.91, 5 Pd 2.96-3.04, 2 Th 3.15
Pd 0.9987 0.6350 0.6857  3 Pd 2.72-2.97, 1 Er 2.74, 2 Th 2.91
Th 0.4990 0.3064 0.6128  10 Pd 2.91-3.21
Pd 0.5000 0.2994 0.0000  2 Er 2.91, 5 Pd 2.96-3.04, 2 Th 3.15


Entry 2:
DFT (GGA-PBE) results for crystalline Pr3Co5Se12 at its relaxed geometry.

Calculated values
Total moment = 29.74 μB per cell
Uncorrected formation energy = -0.712 eV per atom

Unit cell a=13.3552 b=13.3552 c=13.3552 alpha=109.47 beta=109.47 gamma=109.47
Last column: nearest neighbours and their distance in Å.
Fractional positions:
Co 0.0000 0.0000 0.0000  6 Se 2.43
Se 0.5202 0.3223 0.9099  2 Co 2.31-2.43
Se 0.8223 0.9099 0.0202  2 Co 2.31-2.43
Se 0.6103 0.0202 0.1979  2 Co 2.31-2.43
Co 0.7500 0.1250 0.8750  4 Se 2.31
Se 0.1103 0.4124 0.0901  2 Co 2.31-2.43
Se 0.8897 0.3021 0.4798  2 Co 2.31-2.43
Se 0.3223 0.8021 0.4124  2 Co 2.31-2.43
Se 0.9798 0.5901 0.1777  2 Co 2.31-2.43
Se 0.8223 0.9124 0.3021  2 Co 2.31-2.43
Pr 0.3750 0.7500 0.6250  8 Se 3.06-3.08
Co 0.0000 0.5000 0.5000  6 Se 2.43
Se 0.5901 0.6103 0.4124  2 Co 2.31-2.43
Pr 0.6250 0.2500 0.3750  8 Se 3.06-3.08
Se 0.4124 0.3021 0.3223  2 Co 2.31-2.43
Se 0.1979 0.6777 0.0876  2 Co 2.31-2.43
Se 0.6777 0.1979 0.5876  2 Co 2.31-2.43
Co 0.6250 0.8750 0.2500  4 Se 2.31
Se 0.6979 0.1103 0.0202  2 Co 2.31-2.43
Se 0.0876 0.1777 0.1979  2 Co 2.31-2.43
Se 0.1777 0.0876 0.6979  2 Co 2.31-2.43
Se 0.4099 0.0202 0.3223  2 Co 2.31-2.43
Co 0.0000 0.0000 0.5000  6 Se 2.43
Se 0.8021 0.3223 0.9124  2 Co 2.31-2.43
Se 0.5901 0.9798 0.6777  2 Co 2.31-2.43
Co 0.3750 0.1250 0.7500  4 Se 2.31
Pr 0.8750 0.7500 0.1250  8 Se 3.06-3.08
Se 0.1103 0.6979 0.5202  2 Co 2.31-2.43
Se 0.5876 0.8897 0.4099  2 Co 2.31-2.43
Co 0.5000 0.0000 0.5000  6 Se 2.43
Co 0.5000 0.5000 0.5000  6 Se 2.43
Se 0.6103 0.5901 0.9124  2 Co 2.31-2.43
Co 0.2500 0.8750 0.1250  4 Se 2.31
Se 0.0901 0.9124 0.1103  2 Co 2.31-2.43
Se 0.6777 0.4798 0.5901  2 Co 2.31-2.43
Co 0.7500 0.6250 0.3750  4 Se 2.31
Pr 0.3750 0.6250 0.2500  8 Se 3.06-3.08
Se 0.0901 0.1777 0.4798  2 Co 2.31-2.43
Co 0.1250 0.7500 0.3750  4 Se 2.31
Co 0.5000 0.0000 0.0000  6 Se 2.43
Pr 0.2500 0.6250 0.8750  8 Se 3.06-3.08
Se 0.3021 0.4124 0.8223  2 Co 2.31-2.43
Pr 0.1250 0.2500 0.8750  8 Se 3.06-3.08
Se 0.9099 0.0876 0.8897  2 Co 2.31-2.43
Co 0.6250 0.7500 0.8750  4 Se 2.31
Se 0.6979 0.5876 0.1777  2 Co 2.31-2.43
Se 0.4798 0.8021 0.8897  2 Co 2.31-2.43
Se 0.0876 0.9099 0.3897  2 Co 2.31-2.43
Se 0.1979 0.5202 0.6103  2 Co 2.31-2.43
Co 0.0000 0.5000 0.0000  6 Se 2.43
Se 0.0202 0.4099 0.8223  2 Co 2.31-2.43
Se 0.3223 0.5202 0.4099  2 Co 2.31-2.43
Se 0.3021 0.8897 0.9798  2 Co 2.31-2.43
Se 0.5202 0.1979 0.1103  2 Co 2.31-2.43
Se 0.9099 0.8223 0.5202  2 Co 2.31-2.43
Co 0.2500 0.3750 0.6250  4 Se 2.31
Co 0.8750 0.2500 0.6250  4 Se 2.31
Se 0.1777 0.0901 0.9798  2 Co 2.31-2.43
Se 0.4124 0.1103 0.5901  2 Co 2.31-2.43
Se 0.4798 0.6777 0.0901  2 Co 2.31-2.43
Se 0.8021 0.4798 0.3897  2 Co 2.31-2.43
Pr 0.7500 0.3750 0.1250  8 Se 3.06-3.08
Pr 0.1250 0.8750 0.7500  8 Se 3.06-3.08
Co 0.8750 0.6250 0.7500  4 Se 2.31
Se 0.0202 0.6103 0.6979  2 Co 2.31-2.43
Co 0.1250 0.3750 0.2500  4 Se 2.31
Se 0.9798 0.3897 0.3021  2 Co 2.31-2.43
Co 0.5000 0.5000 0.0000  6 Se 2.43
Pr 0.8750 0.1250 0.2500  8 Se 3.06-3.08
Co 0.3750 0.2500 0.1250  4 Se 2.31
Se 0.3897 0.4099 0.0876  2 Co 2.31-2.43
Pr 0.7500 0.8750 0.6250  8 Se 3.06-3.08
Se 0.8897 0.5876 0.9099  2 Co 2.31-2.43
Se 0.9124 0.0901 0.6103  2 Co 2.31-2.43
Pr 0.6250 0.3750 0.7500  8 Se 3.06-3.08
Se 0.5876 0.6979 0.6777  2 Co 2.31-2.43
Pr 0.2500 0.1250 0.3750  8 Se 3.06-3.08
Se 0.3897 0.9798 0.8021  2 Co 2.31-2.43
Se 0.9124 0.8223 0.8021  2 Co 2.31-2.43
Se 0.4099 0.3897 0.5876  2 Co 2.31-2.43


Entry 3:
DFT (GGA-PBE) results for crystalline AcLa2Pr2Dy at its relaxed geometry.

Calculated values
Total moment = 0.00 μB per cell
Energy relative to the elements = 0.046 eV per atom

Unit cell a=5.8891 b=7.3647 c=10.2219 alpha=90.00 beta=90.00 gamma=90.00
Last column: nearest neighbours and their distance in Å.
Fractional positions:
Dy 0.5000 0.2571 0.6670  5 Pr 3.41-3.68
La 0.0000 0.2581 0.1659  5 Pr 3.37-3.68
La 0.5000 0.5078 0.9998  6 La 3.68-3.86, 6 Pr 3.84-3.86, 2 Dy 3.87
Pr 0.0000 0.2578 0.8359  3 La 3.37-3.68, 2 Dy 3.41
Ac 0.0000 0.0073 0.4998  2 Ac 3.68, 4 Dy 3.87, 2 La 3.88, 6 Pr 3.88-3.90
La 0.5000 0.0078 0.0002  6 La 3.68-3.86, 6 Pr 3.84-3.86, 2 Dy 3.87
La 0.0000 0.7581 0.8341  5 Pr 3.37-3.68
Pr 0.5000 0.2574 0.3297  2 La 3.39, 3 Dy 3.45-3.68
Ac 0.0000 0.5073 0.5002  2 Ac 3.68, 4 Dy 3.87, 2 La 3.88, 6 Pr 3.88-3.90
Dy 0.5000 0.7571 0.3330  5 Pr 3.41-3.68
Pr 0.5000 0.7574 0.6703  2 La 3.39, 3 Dy 3.45-3.68
Pr 0.0000 0.7578 0.1641  3 La 3.37-3.68, 2 Dy 3.41


Entry 4:
DFT (GGA-PBE) results for crystalline RbLiHgSe at its relaxed geometry.

Calculated values
Total moment = 0.00 μB per cell
Uncorrected formation energy = -0.852 eV per atom

Unit cell a=4.5081 b=4.5081 c=12.0819 alpha=90.00 beta=90.00 gamma=90.00
Last column: nearest neighbours and their distance in Å.
Fractional positions:
Rb 0.7500 0.7500 0.2257  4 Se 3.46, 4 Li 3.54
Li 0.7500 0.2500 0.0000  4 Se 2.65
Rb 0.2500 0.2500 0.7743  4 Se 3.46, 4 Li 3.54
Se 0.7500 0.7500 0.8852  4 Li 2.65
Hg 0.7500 0.2500 0.5000  4 Hg 3.19
Hg 0.2500 0.7500 0.5000  4 Hg 3.19
Li 0.2500 0.7500 0.0000  4 Se 2.65
Se 0.2500 0.2500 0.1148  4 Li 2.65


Entry 5:
DFT (GGA-PBE) results for crystalline PuSi4Pd6 at its relaxed geometry.

Calculated values
Total moment = 5.62 μB per cell
Uncorrected formation energy = -0.496 eV per atom

Unit cell a=6.3758 b=6.3758 c=6.3758 alpha=96.37 beta=116.39 gamma=116.39
Last column: nearest neighbours and their distance in Å.
Fractional positions:
Pd 0.7022 0.2194 0.2194  4 Si 2.31-2.45
Pd 0.0000 0.4828 0.7806  4 Si 2.31-2.45
Si 0.5857 0.4422 0.4422  4 Pd 2.31-2.45
Pd 0.2978 0.5172 0.5172  4 Si 2.31-2.45
Si 0.0000 0.5578 0.1436  4 Pd 2.31-2.45
Si 0.0000 0.1436 0.5578  4 Pd 2.31-2.45
Pu 0.0000 0.0000 0.0000  4 Si 3.06, 4 Pd 3.36
Pd 0.0000 0.7806 0.4828  4 Si 2.31-2.45
Pd 0.5000 0.5000 0.0000  4 Si 2.72, 4 Pd 2.80
Si 0.4143 0.8564 0.8564  4 Pd 2.31-2.45
Pd 0.5000 0.0000 0.5000  4 Si 2.72, 4 Pd 2.80


Entry 6:
DFT (GGA-PBE) results for crystalline CeAl3Pd4 at its relaxed geometry.

Calculated values
Total moment = 0.80 μB per cell
Energy relative to the elements = -0.830 eV per atom

Unit cell a=4.3143 b=4.3143 c=9.0116 alpha=76.15 beta=76.15 gamma=60.00
Last column: nearest neighbours and their distance in Å.
Fractional positions:
Al 0.5000 0.5000 0.5000  8 Pd 2.52-2.63
Ce 0.0000 0.0000 0.0000  6 Pd 3.08
Pd 0.1346 0.1346 0.5963  7 Al 2.63-2.71
Al 0.7611 0.7611 0.7167  7 Pd 2.57-2.71
Pd 0.5971 0.5971 0.2086  4 Al 2.52-2.57
Pd 0.4029 0.4029 0.7914  4 Al 2.52-2.57
Pd 0.8654 0.8654 0.4037  7 Al 2.63-2.71
Al 0.2389 0.2389 0.2833  7 Pd 2.57-2.71